Entry 1:
This record from Alexandria via LeMat-Bulk describes a relaxed structure of LiPaMnGe. The functional is PBE.

Cell: 6.3345 6.3345 6.3345 Å, 90.00 90.00 90.00°
Space group F-43m (No. 216)
Inequivalent atoms, fractional coordinates:
Li 0.0000 0.0000 0.0000 [4 per cell]
Pa 0.2500 0.2500 0.7500 [4 per cell]
Mn 0.0000 0.0000 0.5000 [4 per cell]
Ge 0.2500 0.2500 0.2500 [4 per cell]

Values from the calculation:
Raw total energy = -102.7 eV/cell
Density of states at the Fermi level = 0.9051 states/eV per atom
Calculated density = 9.553 g cm⁻³
Crystal system = cubic
Volume = 63.54 Å³/f.u.

Entry 2:
This record from Alexandria via LeMat-Bulk describes a relaxed structure of LiMn2GePb. The functional is PBE.

Cell: 4.7121 4.7121 4.7029 Å, 90.00 90.00 90.00°
Space group P4/mmm (No. 123)
Inequivalent atoms, fractional coordinates:
Li 0.0000 0.0000 0.0000 [1 per cell]
Mn 0.0000 0.5000 0.5000 [2 per cell]
Ge 0.0000 0.0000 0.5000 [1 per cell]
Pb 0.5000 0.5000 0.0000 [1 per cell]

Values from the calculation:
Raw total energy = -27.2 eV/cell
Density of states at the Fermi level = 0.3452 states/eV per atom
Calculated density = 6.308 g cm⁻³
Crystal system = tetragonal
Volume = 104.42 Å³/f.u.

Entry 3:
This record from Alexandria via LeMat-Bulk describes a relaxed structure of Li2MnGePd. The functional is PBE.

Cell: 4.4575 4.4575 4.9572 Å, 90.00 90.00 90.00°
Space group P4/mmm (No. 123)
Inequivalent atoms, fractional coordinates:
Li 0.0000 0.5000 0.0000 [2 per cell]
Mn 0.0000 0.0000 0.5000 [1 per cell]
Ge 0.5000 0.5000 0.5000 [1 per cell]
Pd 0.0000 0.0000 0.0000 [1 per cell]

Values from the calculation:
Raw total energy = -21.1 eV/cell
Density of states at the Fermi level = 0.5317 states/eV per atom
Calculated density = 4.179 g cm⁻³
Crystal system = tetragonal
Volume = 98.50 Å³/f.u.

Entry 4:
This record from Alexandria via LeMat-Bulk describes a relaxed structure of LiPmMnGe. The functional is PBE.

Cell: 6.5670 6.5670 6.5670 Å, 90.00 90.00 90.00°
Space group F-43m (No. 216)
Inequivalent atoms, fractional coordinates:
Li 0.0000 0.0000 0.0000 [4 per cell]
Pm 0.2500 0.2500 0.7500 [4 per cell]
Mn 0.0000 0.0000 0.5000 [4 per cell]
Ge 0.2500 0.2500 0.2500 [4 per cell]

Values from the calculation:
Raw total energy = -83.6 eV/cell
Density of states at the Fermi level = 1.1098 states/eV per atom
Calculated density = 6.556 g cm⁻³
Crystal system = cubic
Volume = 70.80 Å³/f.u.

Repeat the third record exactly.
This record from Alexandria via LeMat-Bulk describes a relaxed structure of Li2MnGePd. The functional is PBE.

Cell: 4.4575 4.4575 4.9572 Å, 90.00 90.00 90.00°
Space group P4/mmm (No. 123)
Inequivalent atoms, fractional coordinates:
Li 0.0000 0.5000 0.0000 [2 per cell]
Mn 0.0000 0.0000 0.5000 [1 per cell]
Ge 0.5000 0.5000 0.5000 [1 per cell]
Pd 0.0000 0.0000 0.0000 [1 per cell]

Values from the calculation:
Raw total energy = -21.1 eV/cell
Density of states at the Fermi level = 0.5317 states/eV per atom
Calculated density = 4.179 g cm⁻³
Crystal system = tetragonal
Volume = 98.50 Å³/f.u.

Please write out number 2 again, unchanged.
This record from Alexandria via LeMat-Bulk describes a relaxed structure of LiMn2GePb. The functional is PBE.

Cell: 4.7121 4.7121 4.7029 Å, 90.00 90.00 90.00°
Space group P4/mmm (No. 123)
Inequivalent atoms, fractional coordinates:
Li 0.0000 0.0000 0.0000 [1 per cell]
Mn 0.0000 0.5000 0.5000 [2 per cell]
Ge 0.0000 0.0000 0.5000 [1 per cell]
Pb 0.5000 0.5000 0.0000 [1 per cell]

Values from the calculation:
Raw total energy = -27.2 eV/cell
Density of states at the Fermi level = 0.3452 states/eV per atom
Calculated density = 6.308 g cm⁻³
Crystal system = tetragonal
Volume = 104.42 Å³/f.u.

Please write out number 2 again, unchanged.
This record from Alexandria via LeMat-Bulk describes a relaxed structure of LiMn2GePb. The functional is PBE.

Cell: 4.7121 4.7121 4.7029 Å, 90.00 90.00 90.00°
Space group P4/mmm (No. 123)
Inequivalent atoms, fractional coordinates:
Li 0.0000 0.0000 0.0000 [1 per cell]
Mn 0.0000 0.5000 0.5000 [2 per cell]
Ge 0.0000 0.0000 0.5000 [1 per cell]
Pb 0.5000 0.5000 0.0000 [1 per cell]

Values from the calculation:
Raw total energy = -27.2 eV/cell
Density of states at the Fermi level = 0.3452 states/eV per atom
Calculated density = 6.308 g cm⁻³
Crystal system = tetragonal
Volume = 104.42 Å³/f.u.

- The lowest density of states at the Fermi level belongs to which entry?
  LiMn2GePb